# 1
Here is a relaxed structure of ZnW2Se from Alexandria. Energies are from PBE.

## Properties
- Space group: P4/mmm (123)
- Excess energy over the best structure of this formula in the dataset: 1.14 eV per formula unit

Cell: 3.0679 3.0679 6.5027 Å, 90.00 90.00 90.00°
Positions (direct):
W  0.0000  0.0000  0.0031
W  0.0000  0.0000  0.4969
Zn  0.5000  0.5000  0.2500
Se  0.5000  0.5000  0.7500

---

# 2
Here is a relaxed structure of Fe4HgPb from Alexandria. Energies are from PBE.

## Properties
- Space group: F-43m (216)
- Formation energy: 0.39 eV/atom

Cell: 5.0982 5.0982 5.0982 Å, 60.00 60.00 60.00°
Last column: magnetic moment on the atom in μB.
Positions (direct):
Fe  0.8729  0.3757  0.3757  2.48
Fe  0.3757  0.8729  0.3757  2.48
Fe  0.3757  0.3757  0.3757  2.48
Fe  0.3757  0.3757  0.8729  2.48
Pb  0.0000  0.0000  0.0000  -0.08
Hg  0.7500  0.7500  0.7500  -0.04

---

# 3
Here is a relaxed structure of Zn2WCl from Alexandria. Energies are from PBE.

## Properties
- Space group: F-43m (216)
- Excess energy over the best structure of this formula in the dataset: 3.16 eV per formula unit

Cell: 4.4981 4.4981 4.4981 Å, 60.00 60.00 60.00°
Last column: magnetic moment on the atom in μB.
Positions (direct):
W  0.2500  0.2500  0.2500  1.02
Zn  0.0000  0.0000  0.0000  0.03
Zn  0.7500  0.7500  0.7500  -0.04
Cl  0.5000  0.5000  0.5000  -0.01

---

# 4
Here is a relaxed structure of DyYCd6 from Alexandria. Energies are from PBE.

## Properties
- Space group: Amm2 (38)
- Formation energy: -0.29 eV/atom

Cell: 4.8935 6.5233 6.5233 Å, 113.78 90.00 90.00°
Positions (direct):
Dy  0.0000  0.1134  0.8866
Cd  0.5000  0.9245  0.0755
Cd  0.0000  0.6268  0.9395
Cd  0.5000  0.8736  0.5618
Cd  0.5000  0.4382  0.1264
Cd  0.0000  0.0605  0.3732
Cd  0.0000  0.5761  0.4239
Y  0.5000  0.3865  0.6135

---

# 5
Here is a relaxed structure of BeH from Alexandria. Energies are from PBE.

## Properties
- Space group: P2_1/m (11)
- Excess energy over the best structure of this formula in the dataset: 0.19 eV per formula unit

Cell: 3.6945 2.1623 3.8197 Å, 90.00 105.49 90.00°
Positions (direct):
H  0.4115  0.2500  0.2375
H  0.5885  0.7500  0.7625
Be  0.2288  0.7500  0.4285
Be  0.7712  0.2500  0.5715

---

# 6
Here is a relaxed structure of ScRuAu2 from Alexandria. Energies are from PBE.

## Properties
- Space group: R3m (160)
- Formation energy: -0.06 eV/atom

Cell: 9.0996 9.0996 9.0996 Å, 19.26 19.26 19.26°
Positions (direct):
Sc  0.7560  0.7560  0.7560
Ru  0.4946  0.4946  0.4946
Au  0.2468  0.2468  0.2468
Au  0.0026  0.0026  0.0026

---

# 7
Here is a relaxed structure of Pr2NpSb3Pt4 from Alexandria. Energies are from PBE.

## Properties
- Total energy: -66.70 eV per cell
- Space group: P-4m2 (115)

Cell: 4.5659 4.5659 11.3658 Å, 90.00 90.00 90.00°
Last column: magnetic moment on the atom in μB.
Positions (direct):
Pt  0.0000  0.5000  0.3551  -0.03
Pt  0.5000  0.5000  0.0000  -0.01
Pt  0.0000  0.0000  0.0000  -0.01
Pt  0.5000  0.0000  0.6449  -0.03
Np  0.5000  0.5000  0.5000  3.79
Sb  0.0000  0.0000  0.5000  -0.04
Sb  0.0000  0.5000  0.1271  0.00
Sb  0.5000  0.0000  0.8729  0.00
Pr  0.0000  0.5000  0.7832  0.03
Pr  0.5000  0.0000  0.2168  0.03

---

# 8
Here is a relaxed structure of MgMn2RhN from Alexandria. Energies are from PBE.

## Properties
- Space group: P4/mmm (123)
- Excess energy over the best structure of this formula in the dataset: 0.00 eV per formula unit

Cell: 3.8913 3.8913 4.2108 Å, 90.00 90.00 90.00°
Last column: magnetic moment on the atom in μB.
Positions (direct):
Rh  0.5000  0.5000  0.5000  0.50
N  0.0000  0.0000  0.0000  -0.05
Mg  0.0000  0.0000  0.5000  -0.02
Mn  0.5000  0.0000  0.0000  3.03
Mn  0.0000  0.5000  0.0000  3.03

---

# 9
Here is a relaxed structure of LiAuSe2 from Alexandria. Energies are from PBE.

## Properties
- Total energy: -11.96 eV per cell
- Space group: F-43m (216)

Cell: 4.7720 4.7720 4.7720 Å, 60.00 60.00 60.00°
Positions (direct):
Au  0.5000  0.5000  0.5000
Se  0.7500  0.7500  0.7500
Se  0.0000  0.0000  0.0000
Li  0.2500  0.2500  0.2500

---

# 10
Here is a relaxed structure of CdFePb from Alexandria. Energies are from PBE.

## Properties
- Space group: I4mm (107)
- Excess energy over the best structure of this formula in the dataset: 0.00 eV per formula unit
- Formation energy: 0.44 eV/atom

Cell: 7.1088 7.1088 3.1047 Å, 77.39 77.39 25.23°
Last column: magnetic moment on the atom in μB.
Positions (direct):
Fe  0.3418  0.3418  0.6582  2.63
Cd  0.9696  0.9696  0.0304  -0.05
Pb  0.6886  0.6886  0.3114  -0.06

---

# 11
Here is a relaxed structure of LaZn3In from Alexandria. Energies are from PBE.

## Properties
- Space group: Pm-3m (221)
- Excess energy over the best structure of this formula in the dataset: 2.85 eV per formula unit
- Formation energy: 0.20 eV/atom

Cell: 5.0487 5.0487 5.0487 Å, 90.00 90.00 90.00°
Positions (direct):
Zn  0.5000  0.0000  0.0000
Zn  0.0000  0.5000  0.0000
Zn  0.0000  0.0000  0.5000
La  0.5000  0.5000  0.5000
In  0.0000  0.0000  0.0000

---

# 12
Here is a relaxed structure of Ca2InW from Alexandria. Energies are from PBE.

## Properties
- Space group: C2/m (12)
- Formation energy: 0.68 eV/atom

Cell: 5.6643 5.6643 5.6405 Å, 79.64 79.64 32.53°
Positions (direct):
W  0.7500  0.7500  0.7500
Ca  0.0064  0.0064  0.9884
Ca  0.4936  0.4936  0.5116
In  0.2500  0.2500  0.2500

---

# 13
Here is a relaxed structure of CaSe2N from Alexandria. Energies are from PBE.

## Properties
- Total energy: -33.70 eV per cell
- Space group: I-42d (122)

Cell: 5.9142 5.9142 6.9456 Å, 64.80 64.80 90.00°
Last column: magnetic moment on the atom in μB.
Positions (direct):
Se  0.2440  0.6250  0.2500  0.06
Se  0.8750  0.7560  0.7500  0.06
Se  0.5060  0.1250  0.2500  0.07
Se  0.3750  0.4940  0.7500  0.07
N  0.2500  0.7500  0.5000  0.50
N  0.5000  0.5000  0.0000  0.50
Ca  0.0000  0.0000  0.0000  0.02
Ca  0.7500  0.2500  0.5000  0.02

---

# 14
Here is a relaxed structure of SrPu3Tl2O12 from Alexandria. Energies are from PBE.

## Properties
- Total energy: -148.90 eV per cell
- Space group: R-3m (166)

Cell: 7.2669 7.2669 7.2669 Å, 67.59 67.59 67.59°
Last column: magnetic moment on the atom in μB.
Positions (direct):
Pu  0.5000  0.0000  0.0000  1.75
Pu  0.0000  0.5000  0.0000  1.75
Pu  0.0000  0.0000  0.5000  1.75
O  0.8688  0.8688  0.4319  -0.09
O  0.5681  0.1312  0.1312  -0.09
O  0.0986  0.7336  0.7336  -0.10
O  0.2664  0.9014  0.2664  -0.10
O  0.1312  0.1312  0.5681  -0.09
O  0.9014  0.2664  0.2664  -0.10
O  0.7336  0.7336  0.0986  -0.10
O  0.8688  0.4319  0.8688  -0.09
O  0.4319  0.8688  0.8688  -0.09
O  0.2664  0.2664  0.9014  -0.10
O  0.1312  0.5681  0.1312  -0.09
O  0.7336  0.0986  0.7336  -0.10
Sr  0.0000  0.0000  0.0000  0.00
Tl  0.6132  0.6132  0.6132  -0.01
Tl  0.3868  0.3868  0.3868  -0.01

---

# 15
Here is a relaxed structure of PmHoPS from Alexandria. Energies are from PBE.

## Properties
- Total energy: -26.31 eV per cell
- Space group: R3m (160)

Cell: 4.0071 4.0071 6.9850 Å, 73.33 73.33 60.00°
Positions (direct):
S  0.4477  0.4477  0.6570
Pm  0.6912  0.6912  0.9264
Ho  0.1970  0.1970  0.4091
P  0.9406  0.9406  0.1782

---

# 16
Here is a relaxed structure of Ac3PuS4 from Alexandria. Energies are from PBE.

## Properties
- Space group: Cmmm (65)
- Excess energy over the best structure of this formula in the dataset: 0.00 eV per formula unit

Cell: 4.2139 7.3464 7.3464 Å, 109.25 90.00 90.00°
Last column: magnetic moment on the atom in μB.
Positions (direct):
S  0.0000  0.7662  0.7662  -0.04
S  0.5000  0.2419  0.7581  -0.02
S  0.5000  0.7581  0.2419  -0.02
S  0.0000  0.2338  0.2338  -0.04
Pu  0.5000  0.0000  0.0000  5.44
Ac  0.0000  0.5000  0.0000  0.03
Ac  0.5000  0.5000  0.5000  0.00
Ac  0.0000  0.0000  0.5000  0.03

---

# 17
Here is a relaxed structure of MgMnSeBr2 from Alexandria. Energies are from PBE.

## Properties
- Space group: P4/mmm (123)
- Excess energy over the best structure of this formula in the dataset: 0.00 eV per formula unit

Cell: 5.0091 5.0091 5.4517 Å, 90.00 90.00 90.00°
Last column: magnetic moment on the atom in μB.
Positions (direct):
Br  0.0000  0.5000  0.0000  0.03
Br  0.5000  0.0000  0.0000  0.03
Se  0.0000  0.0000  0.5000  -0.06
Mg  0.0000  0.0000  0.0000  0.00
Mn  0.5000  0.5000  0.5000  4.57

---

# 18
Here is a relaxed structure of Tb2ThIn2Hg2 from Alexandria. Energies are from PBE.

## Properties
- Space group: R-3m (166)
- Formation energy: -0.21 eV/atom

Cell: 4.9724 4.9724 9.3450 Å, 74.57 74.57 60.00°
Positions (direct):
Tb  0.1313  0.1313  0.6061
Tb  0.8687  0.8687  0.3939
In  0.2689  0.2689  0.1934
In  0.7311  0.7311  0.8066
Th  0.0000  0.0000  0.0000
Hg  0.5723  0.5723  0.2830
Hg  0.4277  0.4277  0.7170

---

# 19
Here is a relaxed structure of TlSn2Sb from Alexandria. Energies are from PBE.

## Properties
- Space group: I-42d (122)
- Excess energy over the best structure of this formula in the dataset: 0.29 eV per formula unit

Cell: 6.7634 6.7634 8.2370 Å, 65.76 65.76 90.00°
Positions (direct):
Sb  0.2500  0.7500  0.5000
Sb  0.5000  0.5000  0.0000
Sn  0.3750  0.3750  0.7500
Sn  0.1250  0.6250  0.2500
Sn  0.8750  0.8750  0.7500
Sn  0.6250  0.1250  0.2500
Tl  0.0000  0.0000  0.0000
Tl  0.7500  0.2500  0.5000

---

# 20
Here is a relaxed structure of Ac4HoCu3O12 from Alexandria. Energies are from PBE.

## Properties
- Total energy: -138.31 eV per cell
- Space group: Im-3m (229)

Cell: 6.9826 6.9826 6.9826 Å, 109.47 109.47 109.47°
Positions (direct):
O  0.2500  0.7500  0.5000
O  0.0000  0.2649  0.2649
O  0.7500  0.5000  0.2500
O  0.2500  0.5000  0.7500
O  0.5000  0.2500  0.7500
O  0.2649  0.0000  0.2649
O  0.0000  0.7351  0.7351
O  0.7351  0.7351  0.0000
O  0.7351  0.0000  0.7351
O  0.2649  0.2649  0.0000
O  0.5000  0.7500  0.2500
O  0.7500  0.2500  0.5000
Ac  0.5000  0.0000  0.0000
Ac  0.5000  0.5000  0.5000
Ac  0.0000  0.5000  0.0000
Ac  0.0000  0.0000  0.5000
Cu  0.5000  0.0000  0.5000
Cu  0.5000  0.5000  0.0000
Cu  0.0000  0.5000  0.5000
Ho  0.0000  0.0000  0.0000

---

# 21
Here is a relaxed structure of Pm3Hg2Pb2 from Alexandria. Energies are from PBE.

## Properties
- Space group: C2/m (12)
- Formation energy: -0.48 eV/atom

Cell: 4.7586 6.3946 7.5489 Å, 104.73 90.00 111.84°
Positions (direct):
Pm  0.6576  0.3152  0.6347
Pm  0.3424  0.6848  0.3653
Pm  0.5000  0.0000  0.0000
Hg  0.1771  0.3542  0.9557
Hg  0.8229  0.6458  0.0443
Pb  0.0640  0.1280  0.3287
Pb  0.9360  0.8720  0.6713

---

# 22
Here is a relaxed structure of ZnSnB2Pt from Alexandria. Energies are from PBE.

## Properties
- Space group: P4/mmm (123)
- Formation energy: 1.28 eV/atom

Cell: 3.8764 3.8764 5.8282 Å, 90.00 90.00 90.00°
Positions (direct):
Zn  0.0000  0.0000  0.0000
Sn  0.0000  0.0000  0.5000
B  0.5000  0.0000  0.0000
B  0.0000  0.5000  0.0000
Pt  0.5000  0.5000  0.5000

---

# 23
Here is a relaxed structure of TbErSiS from Alexandria. Energies are from PBE.

## Properties
- Total energy: -24.20 eV per cell
- Space group: R3m (160)

Cell: 4.0016 4.0016 7.0243 Å, 73.45 73.45 60.00°
Positions (direct):
Er  0.1945  0.1945  0.4164
Tb  0.6935  0.6935  0.9194
S  0.4454  0.4454  0.6638
Si  0.9429  0.9429  0.1712

---

# 24
Here is a relaxed structure of Hf3ZrSn3 from Alexandria. Energies are from PBE.

## Properties
- Space group: P6_3/m (176)
- Formation energy: -0.24 eV/atom

Cell: 5.2573 8.3122 8.3122 Å, 120.00 90.00 90.00°
Positions (direct):
Sn  0.2500  0.0759  0.6231
Sn  0.7500  0.6231  0.5472
Sn  0.7500  0.9241  0.3769
Sn  0.2500  0.3769  0.4528
Sn  0.7500  0.4528  0.0759
Sn  0.2500  0.5472  0.9241
Hf  0.2500  0.9762  0.2091
Hf  0.2500  0.7909  0.7671
Hf  0.7500  0.2091  0.2329
Hf  0.2500  0.2329  0.0238
Hf  0.7500  0.7671  0.9762
Hf  0.7500  0.0238  0.7909
Zr  0.7500  0.3333  0.6667
Zr  0.2500  0.6667  0.3333

---

# 25
Here is a relaxed structure of Os3ClF from Alexandria. Energies are from PBE.

## Properties
- Space group: Pm-3m (221)
- Excess energy over the best structure of this formula in the dataset: 0.00 eV per formula unit

Cell: 4.3655 4.3655 4.3655 Å, 90.00 90.00 90.00°
Last column: magnetic moment on the atom in μB.
Positions (direct):
Cl  0.0000  0.0000  0.0000  0.00
Os  0.5000  0.0000  0.0000  0.66
Os  0.0000  0.5000  0.0000  0.79
Os  0.0000  0.0000  0.5000  0.80
F  0.5000  0.5000  0.5000  0.18

---

# 26
Here is a relaxed structure of Pr2AlIn3 from Alexandria. Energies are from PBE.

## Properties
- Space group: Pmm2 (25)
- Excess energy over the best structure of this formula in the dataset: 0.00 eV per formula unit
- Formation energy: -0.46 eV/atom

Cell: 3.7677 4.9172 8.5348 Å, 90.00 90.00 90.00°
Positions (direct):
In  0.5000  0.0000  0.1747
In  0.5000  0.0000  0.8350
In  0.5000  0.5000  0.6576
Al  0.5000  0.5000  0.3310
Pr  0.0000  0.5000  0.0077
Pr  0.0000  0.0000  0.4940